No. 1
Here is Sr2AlInSe5 after structural relaxation from the Alexandria database. Energies are from PBE.

Calculated values
ΔE_f (raw) ... -1.31 eV per atom
Energy ... -0.159 hartree per atom
Volume ... 245.2 Å³/f.u.
Density ... 4821 kg/m3
Symmetry ... No. 36

Lattice parameters (Å, degrees): 4.0558 9.8264 12.5736 90.00 90.00 101.91
Atoms (fractional coordinates):
Se: 0.9550 0.9100 0.5501
Se: 0.5048 0.0096 0.7779
Se: 0.7185 0.4369 0.1754
Se: 0.3161 0.6322 0.3806
Se: 0.2815 0.5631 0.6754
Se: 0.3586 0.7171 0.9926
Se: 0.6414 0.2829 0.4926
Se: 0.6839 0.3678 0.8806
Se: 0.0450 0.0900 0.0501
Se: 0.4952 0.9904 0.2779
Sr: 0.1178 0.2356 0.3026
Sr: 0.1118 0.2236 0.6751
Sr: 0.8882 0.7764 0.1751
Sr: 0.8822 0.7644 0.8026
In: 0.2231 0.4461 0.0263
In: 0.7769 0.5539 0.5263
Al: 0.4361 0.8723 0.4433
Al: 0.5639 0.1277 0.9433

***

No. 2
Here is PrErNi2Ge2 after structural relaxation from the Alexandria database. Energies are from PBE.

Calculated values
Energy ... -0.212 hartree per atom
Volume ... 114.5 Å³/f.u.
Formation energy from the elements ... -0.74 eV/atom
Density ... 8276 kg/m3
Symmetry ... No. 164

Lattice parameters (Å, degrees): 4.2661 4.2661 7.2665 90.00 90.00 120.00
Atoms (fractional coordinates):
Ni: 0.3333 0.6667 0.7053
Ni: 0.6667 0.3333 0.2947
Ge: 0.3333 0.6667 0.2748
Ge: 0.6667 0.3333 0.7252
Er: 0.0000 0.0000 0.5000
Pr: 0.0000 0.0000 0.0000

***

No. 3
Here is TbSmNp after structural relaxation from the Alexandria database. Energies are from PBE.

Calculated values
Energy ... -0.264 hartree per atom
Volume ... 87.6 Å³/f.u.
Formation energy from the elements ... 0.24 eV/atom
Density ... 10360 kg/m3
Symmetry ... No. 12

Lattice parameters (Å, degrees): 3.5715 5.8910 8.6688 100.88 101.89 90.00
Each line ends with the local moment (μB).
Atoms (fractional coordinates):
Sm: 0.5661 0.7922 0.1322  -0.01
Sm: 0.4339 0.2078 0.8678  -0.01
Tb: 0.8724 0.6773 0.7447  0.03
Tb: 0.1276 0.3227 0.2553  0.03
Np: 0.7631 0.1367 0.5262  1.37
Np: 0.2369 0.8633 0.4738  1.37

***

No. 4
Here is Pr4Al2O after structural relaxation from the Alexandria database. Energies are from PBE.

Calculated values
ΔE_f (raw) ... -0.91 eV per atom
Energy ... -0.199 hartree per atom
Volume ... 193.2 Å³/f.u.
Density ... 5444 kg/m3
Symmetry ... No. 139

Lattice parameters (Å, degrees): 4.8442 4.8442 8.9189 105.76 105.76 90.00
Atoms (fractional coordinates):
Al: 0.3651 0.3651 0.7302
Al: 0.6349 0.6349 0.2698
Pr: 0.0000 0.5000 0.0000
Pr: 0.1736 0.1736 0.3473
Pr: 0.5000 0.0000 0.0000
Pr: 0.8264 0.8264 0.6527
O: 0.0000 0.0000 0.0000

***

No. 5
Here is DyAl2Pb after structural relaxation from the Alexandria database. Energies are from PBE.

Calculated values
Energy ... -0.154 hartree per atom
Volume ... 90.3 Å³/f.u.
Formation energy from the elements ... -0.25 eV/atom
Density ... 7788 kg/m3
Symmetry ... No. 123

Lattice parameters (Å, degrees): 4.4577 4.5016 4.5016 90.00 90.00 90.00
Atoms (fractional coordinates):
Pb: 0.5000 0.0000 0.0000
Al: 0.0000 0.5000 0.0000
Al: 0.0000 0.0000 0.5000
Dy: 0.5000 0.5000 0.5000

***

No. 6
Here is Na2HfCo after structural relaxation from the Alexandria database. Energies are from PBE.

Calculated values
Energy above the most stable polymorph in this dataset ... 0.0 meV/atom
Energy ... -0.146 hartree per atom
Volume ... 108.2 Å³/f.u.
Formation energy from the elements ... 0.95 eV/atom
Density ... 4348 kg/m3
Symmetry ... No. 122

Lattice parameters (Å, degrees): 9.7316 9.7316 7.2510 47.85 47.85 90.00
Atoms (fractional coordinates):
Hf: 0.0000 0.0000 0.0000
Hf: 0.7500 0.2500 0.5000
Co: 0.5000 0.5000 0.0000
Co: 0.2500 0.7500 0.5000
Na: 0.3750 0.4826 0.7500
Na: 0.5174 0.1250 0.2500
Na: 0.2326 0.6250 0.2500
Na: 0.8750 0.7674 0.7500

***

No. 7
Here is V2Ga2Ni7Ir after structural relaxation from the Alexandria database. Energies are from PBE.

Calculated values
Energy ... -0.227 hartree per atom
Volume ... 149.8 Å³/f.u.
Formation energy from the elements ... -0.05 eV/atom
Density ... 9362 kg/m3
Symmetry ... No. 65

Lattice parameters (Å, degrees): 3.6214 3.6214 12.5184 73.14 73.14 89.83
Each line ends with the local moment (μB).
Atoms (fractional coordinates):
V: 0.8229 0.8229 0.6770  0.12
V: 0.1771 0.1771 0.3230  0.12
Ni: 0.8398 0.3398 0.1601  0.15
Ni: 0.6602 0.1602 0.8399  0.15
Ni: 0.5000 0.5000 0.0000  0.24
Ni: 0.3398 0.8398 0.1601  0.15
Ni: 0.7469 0.7469 0.5001  0.05
Ni: 0.1602 0.6602 0.8399  0.15
Ni: 0.2531 0.2531 0.4999  0.05
Ir: 0.0000 0.0000 0.0000  0.23
Ga: 0.3109 0.3109 0.6890  0.00
Ga: 0.6891 0.6891 0.3110  0.00

***

No. 8
Here is GdThHgPb after structural relaxation from the Alexandria database. Energies are from PBE.

Calculated values
Energy ... -0.246 hartree per atom
Volume ... 114.5 Å³/f.u.
Formation energy from the elements ... -0.32 eV/atom
Density ... 11555 kg/m3
Symmetry ... No. 216

Lattice parameters (Å, degrees): 5.4512 5.4512 5.4512 60.00 60.00 60.00
Each line ends with the local moment (μB).
Atoms (fractional coordinates):
Th: 0.0000 0.0000 0.0000  0.03
Hg: 0.7500 0.7500 0.7500  0.00
Pb: 0.2500 0.2500 0.2500  -0.01
Gd: 0.5000 0.5000 0.5000  7.05